DFT (PBE) results for crystalline Ba8SrCa2 at its relaxed geometry.

Summary:
The calculation puts the density of states at the Fermi level at 15.23 states/eV/f.u. The space group is C2/m (12). Its relative energy among the computed polymorphs is 0.000 eV per atom. The calculation puts the energy of formation at 0.020 eV per atom. The electronic total energy is -0.0697 hartree per atom.

a = 12.6010 Å, b = 12.6010 Å, c = 10.9891 Å
α = 104.30°, β = 104.30°, γ = 22.27°
Closest atoms and distances in Å follow each position.
Positions (direct):
Ba  0.0427  0.0427  0.2232  2 Sr 4.23, 6 Ba 4.27-4.31
Ba  0.1406  0.1406  0.6797  2 Ca 4.16, 5 Ba 4.24-4.61, 2 Sr 4.30
Ba  0.3164  0.3164  0.6086  2 Ca 4.20, 8 Ba 4.27-4.69
Ba  0.4014  0.4014  0.0416  3 Ca 4.11-4.54, 6 Ba 4.24-4.31
Ba  0.5986  0.5986  0.9584  3 Ca 4.11-4.54, 6 Ba 4.24-4.31
Ba  0.6836  0.6836  0.3914  2 Ca 4.20, 8 Ba 4.27-4.69
Ba  0.8594  0.8594  0.3203  2 Ca 4.16, 5 Ba 4.24-4.61, 2 Sr 4.30
Ba  0.9573  0.9573  0.7768  2 Sr 4.23, 6 Ba 4.27-4.31
Sr  0.5000  0.5000  0.5000  8 Ba 4.23-4.30
Ca  0.2304  0.2304  0.1237  2 Ca 3.95, 6 Ba 4.11-4.20
Ca  0.7696  0.7696  0.8763  2 Ca 3.95, 6 Ba 4.11-4.20